Material: PmGdAg
Method: DFT, PBE
State: optimized geometry

Cell lengths 3.686, 3.686, 6.768 Å; angles 105.80, 105.80, 90.00 degrees
Atoms (fractional coordinates):
Ag 0.664 0.664 0.328
Pm 0.317 0.317 0.635
Gd 0.019 0.019 0.037

Computed properties:
The calculation puts the volume at 28.28 A^3/atom. The total energy is -7.40 eV per atom. The calculation puts the energy above the most stable polymorph in this dataset at 0 meV/atom.

=====

Material: PmGdAgPt
Method: DFT, PBE
State: optimized geometry

Cell lengths 5.113, 5.113, 5.113 Å; angles 60.00, 60.00, 60.00 degrees
Atoms (fractional coordinates):
Pm 0.000 0.000 0.000
Pt 0.750 0.750 0.750
Gd 0.500 0.500 0.500
Ag 0.250 0.250 0.250

Computed properties:
The calculation puts the volume at 23.63 A^3/atom. The total energy is -7.65 eV per atom.

=====

Material: PmGdPuAg
Method: DFT, PBE
State: optimized geometry

Cell lengths 5.355, 5.355, 5.355 Å; angles 60.00, 60.00, 60.00 degrees
Atoms (fractional coordinates):
Pu 0.750 0.750 0.750
Ag 0.500 0.500 0.500
Gd 0.250 0.250 0.250
Pm 0.000 0.000 0.000

Computed properties:
The calculation puts the volume at 27.15 A^3/atom. The total energy is -8.79 eV per atom.

=====

Material: PmGdAgRh
Method: DFT, PBE
State: optimized geometry

Cell lengths 5.077, 5.077, 5.077 Å; angles 60.00, 60.00, 60.00 degrees
Atoms (fractional coordinates):
Pm 0.000 0.000 0.000
Ag 0.250 0.250 0.250
Gd 0.500 0.500 0.500
Rh 0.750 0.750 0.750

Computed properties:
The calculation puts the volume at 23.13 A^3/atom. The total energy is -7.75 eV per atom.